No. 1
# ZrNb3P (SCAN, PBEsol geometry)
data_ZrNb3P
_chemical_formula_sum 'Zr1 Nb3 P1'
_cell_length_a 4.6221
_cell_length_b 4.6221
_cell_length_c 4.6221
_cell_angle_alpha 90.00
_cell_angle_beta 90.00
_cell_angle_gamma 90.00
_space_group_name_H-M_alt 'P m -3 m'
_space_group_IT_number 221
_space_group_name_Hall '-P 4 2 3'
loop_
_atom_site_label
_atom_site_type_symbol
_atom_site_fract_x
_atom_site_fract_y
_atom_site_fract_z
_atom_site_occupancy
Zr1 Zr 0.0000 0.0000 0.0000 1
Nb1 Nb 0.0000 0.5000 0.5000 1
P1 P 0.5000 0.5000 0.5000 1
# Electronic total energy (eV/atom): -28.1153
# DFT formation energy (eV per atom): -0.0180
# Crystal system: cubic
# Spin magnetization (μB/atom): 0.000

No. 2
# Sb2Te (SCAN, PBEsol geometry)
data_Sb2Te
_chemical_formula_sum 'Sb8 Te4'
_cell_length_a 3.8371
_cell_length_b 17.1599
_cell_length_c 5.0382
_cell_angle_alpha 90.00
_cell_angle_beta 90.00
_cell_angle_gamma 90.00
_space_group_name_H-M_alt 'C m c m'
_space_group_IT_number 63
_space_group_name_Hall '-C 2c 2'
loop_
_atom_site_label
_atom_site_type_symbol
_atom_site_fract_x
_atom_site_fract_y
_atom_site_fract_z
_atom_site_occupancy
Sb1 Sb 0.0000 0.0860 0.2500 1
Sb2 Sb 0.0000 0.2777 0.7500 1
Te1 Te 0.0000 0.4089 0.2500 1
# Electronic total energy (eV/atom): -37.0304
# Energy relative to the elements, uncorrected (meV/atom): 227
# Excess energy over the best structure of this formula in the dataset (meV per atom): 232
# Crystal system: orthorhombic
# Spin magnetization (μB/atom): 0.000

No. 3
# Li5Mn2CoO8 (SCAN, PBEsol geometry)
data_Li5Mn2CoO8
_chemical_formula_sum 'Li10 Mn4 Co2 O16'
_cell_length_a 12.2702
_cell_length_b 2.8289
_cell_length_c 9.5481
_cell_angle_alpha 90.00
_cell_angle_beta 128.62
_cell_angle_gamma 90.00
_space_group_name_H-M_alt 'C 1 2/m 1'
_space_group_IT_number 12
loop_
_space_group_symop_operation_xyz
'x,y,z'
'-x,-y,-z'
'-x,y,-z'
'x,-y,z'
'x+1/2,y+1/2,z'
'-x+1/2,-y+1/2,-z'
'-x+1/2,y+1/2,-z'
'x+1/2,-y+1/2,z'
loop_
_atom_site_label
_atom_site_type_symbol
_atom_site_fract_x
_atom_site_fract_y
_atom_site_fract_z
_atom_site_occupancy
Li1 Li 0.0000 0.0000 0.0000 1
Li2 Li 0.1158 0.5000 0.8758 1
Li3 Li 0.1204 0.0000 0.3662 1
Mn1 Mn 0.2439 0.5000 0.2447 1
Co1 Co 0.0000 0.5000 0.5000 1
O1 O 0.0610 0.0000 0.6685 1
O2 O 0.0776 0.5000 0.1963 1
O3 O 0.1850 0.5000 0.5782 1
O4 O 0.1992 0.0000 0.0850 1
# Electronic total energy (eV/atom): -9.4126
# Energy relative to the elements, uncorrected (meV/atom): -2187
# Excess energy over the best structure of this formula in the dataset (meV per atom): 11
# Crystal system: monoclinic
# Spin magnetization (μB/atom): 0.373

No. 4
# AlCrCl2 (SCAN, PBEsol geometry)
data_AlCrCl2
_chemical_formula_sum 'Al2 Cr2 Cl4'
_cell_length_a 3.1912
_cell_length_b 5.2624
_cell_length_c 9.8614
_cell_angle_alpha 90.00
_cell_angle_beta 90.00
_cell_angle_gamma 90.00
_space_group_name_H-M_alt 'I m m m'
_space_group_IT_number 71
_space_group_name_Hall '-I 2 2'
loop_
_atom_site_label
_atom_site_type_symbol
_atom_site_fract_x
_atom_site_fract_y
_atom_site_fract_z
_atom_site_occupancy
Al1 Al 0.0000 0.0000 0.0000 1
Cr1 Cr 0.0000 0.0000 0.5000 1
Cl1 Cl 0.0000 0.5000 0.1742 1
# Electronic total energy (eV/atom): -11.0243
# Energy relative to the elements, uncorrected (meV/atom): -501
# Excess energy over the best structure of this formula in the dataset (meV per atom): 0
# Crystal system: orthorhombic
# Spin magnetization (μB/atom): 0.865

No. 5
# TaTl2Br (SCAN, PBEsol geometry)
data_TaTl2Br
_chemical_formula_sum 'Ta2 Tl4 Br2'
_cell_length_a 4.2533
_cell_length_b 4.2533
_cell_length_c 10.2258
_cell_angle_alpha 90.00
_cell_angle_beta 90.00
_cell_angle_gamma 90.00
_space_group_name_H-M_alt 'I -4 m 2'
_space_group_IT_number 119
_space_group_name_Hall 'I -4 -2'
loop_
_atom_site_label
_atom_site_type_symbol
_atom_site_fract_x
_atom_site_fract_y
_atom_site_fract_z
_atom_site_occupancy
Ta1 Ta 0.0000 0.0000 0.0000 1
Tl1 Tl 0.0000 0.0000 0.5000 1
Tl2 Tl 0.0000 0.5000 0.2500 1
Br1 Br 0.0000 0.5000 0.7500 1
# Electronic total energy (eV/atom): -56.8682
# Energy relative to the elements, uncorrected (meV/atom): 822
# Excess energy over the best structure of this formula in the dataset (meV per atom): 645
# Crystal system: tetragonal
# Spin magnetization (μB/atom): 0.319

No. 6
# BaCuH3 (SCAN, PBEsol geometry)
data_BaCuH3
_chemical_formula_sum 'Ba1 Cu1 H3'
_cell_length_a 3.8653
_cell_length_b 3.8653
_cell_length_c 3.8653
_cell_angle_alpha 90.00
_cell_angle_beta 90.00
_cell_angle_gamma 90.00
_space_group_name_H-M_alt 'P m -3 m'
_space_group_IT_number 221
_space_group_name_Hall '-P 4 2 3'
loop_
_atom_site_label
_atom_site_type_symbol
_atom_site_fract_x
_atom_site_fract_y
_atom_site_fract_z
_atom_site_occupancy
Ba1 Ba 0.0000 0.0000 0.0000 1
Cu1 Cu 0.5000 0.5000 0.5000 1
H1 H 0.0000 0.5000 0.5000 1
# Electronic total energy (eV/atom): -13.3508
# Crystal system: cubic
# Spin magnetization (μB/atom): 0.000

No. 7
# P2RuNO (SCAN, PBEsol geometry)
data_P2RuNO
_chemical_formula_sum 'P2 Ru1 N1 O1'
_cell_length_a 3.8187
_cell_length_b 3.8187
_cell_length_c 3.6561
_cell_angle_alpha 90.00
_cell_angle_beta 90.00
_cell_angle_gamma 90.00
_space_group_name_H-M_alt 'P 4/m m m'
_space_group_IT_number 123
_space_group_name_Hall '-P 4 2'
loop_
_atom_site_label
_atom_site_type_symbol
_atom_site_fract_x
_atom_site_fract_y
_atom_site_fract_z
_atom_site_occupancy
P1 P 0.0000 0.5000 0.0000 1
Ru1 Ru 0.0000 0.0000 0.5000 1
N1 N 0.5000 0.5000 0.0000 1
O1 O 0.5000 0.5000 0.5000 1
# Electronic total energy (eV/atom): -13.2222
# Energy relative to the elements, uncorrected (meV/atom): 1007
# Crystal system: tetragonal
# Spin magnetization (μB/atom): 0.000

No. 8
# LaTc2Rh (SCAN, PBEsol geometry)
data_LaTc2Rh
_chemical_formula_sum 'La2 Tc4 Rh2'
_cell_length_a 4.3891
_cell_length_b 4.3891
_cell_length_c 7.0161
_cell_angle_alpha 90.00
_cell_angle_beta 90.00
_cell_angle_gamma 90.00
_space_group_name_H-M_alt 'I -4 m 2'
_space_group_IT_number 119
_space_group_name_Hall 'I -4 -2'
loop_
_atom_site_label
_atom_site_type_symbol
_atom_site_fract_x
_atom_site_fract_y
_atom_site_fract_z
_atom_site_occupancy
La1 La 0.0000 0.0000 0.0000 1
Tc1 Tc 0.0000 0.0000 0.5000 1
Tc2 Tc 0.0000 0.5000 0.7500 1
Rh1 Rh 0.0000 0.5000 0.2500 1
# Electronic total energy (eV/atom): -36.4312
# Excess energy over the best structure of this formula in the dataset (meV per atom): 283
# DFT formation energy (eV per atom): 0.3179
# Crystal system: tetragonal
# Spin magnetization (μB/atom): 0.000

No. 9
# NiAs2Ru (SCAN, PBEsol geometry)
data_NiAs2Ru
_chemical_formula_sum 'Ni4 As8 Ru4'
_cell_length_a 6.0945
_cell_length_b 6.0945
_cell_length_c 6.0945
_cell_angle_alpha 90.00
_cell_angle_beta 90.00
_cell_angle_gamma 90.00
_space_group_name_H-M_alt 'F -4 3 m'
_space_group_IT_number 216
_space_group_name_Hall 'F -4 2 3'
loop_
_atom_site_label
_atom_site_type_symbol
_atom_site_fract_x
_atom_site_fract_y
_atom_site_fract_z
_atom_site_occupancy
Ni1 Ni 0.0000 0.0000 0.0000 1
As1 As 0.0000 0.0000 0.5000 1
As2 As 0.2500 0.2500 0.7500 1
Ru1 Ru 0.2500 0.2500 0.2500 1
# Electronic total energy (eV/atom): -22.4114
# Excess energy over the best structure of this formula in the dataset (meV per atom): 378
# DFT formation energy (eV per atom): 0.4338
# Crystal system: cubic
# Spin magnetization (μB/atom): 0.299

No. 10
# Os3PbAu (SCAN, PBEsol geometry)
data_Os3PbAu
_chemical_formula_sum 'Os3 Pb1 Au1'
_cell_length_a 4.8772
_cell_length_b 4.8772
_cell_length_c 4.8772
_cell_angle_alpha 90.00
_cell_angle_beta 90.00
_cell_angle_gamma 90.00
_space_group_name_H-M_alt 'P m -3 m'
_space_group_IT_number 221
_space_group_name_Hall '-P 4 2 3'
loop_
_atom_site_label
_atom_site_type_symbol
_atom_site_fract_x
_atom_site_fract_y
_atom_site_fract_z
_atom_site_occupancy
Os1 Os 0.0000 0.0000 0.5000 1
Pb1 Pb 0.0000 0.0000 0.0000 1
Au1 Au 0.5000 0.5000 0.5000 1
# Electronic total energy (eV/atom): -68.7599
# DFT formation energy (eV per atom): 3.3557
# Crystal system: cubic
# Spin magnetization (μB/atom): 0.616

No. 11
# K2SiAs2 (SCAN, PBEsol geometry)
data_K2SiAs2
_chemical_formula_sum 'K8 Si4 As8'
_cell_length_a 6.9275
_cell_length_b 13.2159
_cell_length_c 6.3357
_cell_angle_alpha 90.00
_cell_angle_beta 90.00
_cell_angle_gamma 90.00
_space_group_name_H-M_alt 'I b a m'
_space_group_IT_number 72
_space_group_name_Hall '-I 2 2c'
loop_
_atom_site_label
_atom_site_type_symbol
_atom_site_fract_x
_atom_site_fract_y
_atom_site_fract_z
_atom_site_occupancy
K1 K 0.1648 0.1431 0.0000 1
Si1 Si 0.0000 0.5000 0.2500 1
As1 As 0.1676 0.3977 0.0000 1
# Electronic total energy (eV/atom): -13.9725
# Energy relative to the elements, uncorrected (meV/atom): -562
# Crystal system: orthorhombic
# Spin magnetization (μB/atom): 0.000

No. 12
# MgZrAg2 (SCAN, PBEsol geometry)
data_MgZrAg2
_chemical_formula_sum 'Mg1 Zr1 Ag2'
_cell_length_a 3.0705
_cell_length_b 3.0705
_cell_length_c 7.7771
_cell_angle_alpha 90.00
_cell_angle_beta 90.00
_cell_angle_gamma 90.00
_space_group_name_H-M_alt 'P 4/m m m'
_space_group_IT_number 123
_space_group_name_Hall '-P 4 2'
loop_
_atom_site_label
_atom_site_type_symbol
_atom_site_fract_x
_atom_site_fract_y
_atom_site_fract_z
_atom_site_occupancy
Mg1 Mg 0.0000 0.0000 0.0000 1
Zr1 Zr 0.0000 0.0000 0.5000 1
Ag1 Ag 0.5000 0.5000 0.2363 1
# Electronic total energy (eV/atom): -24.7715
# DFT formation energy (eV per atom): -0.1698
# Crystal system: tetragonal
# Spin magnetization (μB/atom): 0.196

No. 13
# Zr2InP (SCAN, PBEsol geometry)
data_Zr2InP
_chemical_formula_sum 'Zr4 In2 P2'
_cell_length_a 3.4083
_cell_length_b 3.4388
_cell_length_c 14.4971
_cell_angle_alpha 90.00
_cell_angle_beta 90.00
_cell_angle_gamma 90.00
_space_group_name_H-M_alt 'I m m 2'
_space_group_IT_number 44
loop_
_space_group_symop_operation_xyz
'x,y,z'
'-x,-y,z'
'-x,y,z'
'x,-y,z'
'x+1/2,y+1/2,z+1/2'
'-x+1/2,-y+1/2,z+1/2'
'-x+1/2,y+1/2,z+1/2'
'x+1/2,-y+1/2,z+1/2'
loop_
_atom_site_label
_atom_site_type_symbol
_atom_site_fract_x
_atom_site_fract_y
_atom_site_fract_z
_atom_site_occupancy
Zr1 Zr 0.0000 0.0000 0.0000 1
Zr2 Zr 0.0000 0.5000 0.2998 1
In1 In 0.0000 0.0000 0.6311 1
P1 P 0.0000 0.5000 0.8681 1
# Electronic total energy (eV/atom): -27.0492
# Excess energy over the best structure of this formula in the dataset (meV per atom): 212
# DFT formation energy (eV per atom): -0.7536
# Crystal system: orthorhombic
# Spin magnetization (μB/atom): 0.000